A plane-wave DFT calculation with meta-GGA SCAN was carried out for ZnTc3 at its PBEsol-relaxed geometry.

Computed properties:
As for the total energy: -29.6745 eV/atom. The energy of formation from the pure elements comes out at -1 meV/atom. Its symmetry is No. 223. The calculation puts the total magnetization at 0.000 μB/f.u.

```
ZnTc3
1.0
-0.175 -0.609 4.744
0.950 -4.657 -0.563
4.687 0.922 0.291
Tc Zn
6 2
direct
0.000 0.250 0.500
0.000 0.750 0.500
0.250 0.500 0.000
0.500 0.000 0.250
0.500 0.000 0.750
0.750 0.500 0.000
0.000 0.000 0.000
0.500 0.500 0.500
```